Record 1
Material: HoZnNi3Ge
Method: DFT, PBE-GGA
State: optimized geometry Values from VASP.

Symmetry = No. 63
ρ = 8423 kg/m³
Density of states at the Fermi level = 0.655 states/eV per atom
Final energy = -4.90 eV per atom

Structure (Quantum ESPRESSO input):
```
&SYSTEM
  ibrav = 0, nat = 12, ntyp = 4
/
ATOMIC_SPECIES
Ge 72.64 Ge.upf
Zn 65.41 Zn.upf
Ni 58.69 Ni.upf
Ho 164.93 Ho.upf
ATOMIC_POSITIONS crystal
Ge 0.2500 0.3623 0.7245
Zn 0.2500 0.9471 0.8943
Ni 0.5000 0.3016 0.0000
Ni 0.2500 0.1586 0.3172
Ni 0.7500 0.8414 0.6828
Ni 0.0000 0.3016 0.0000
Ni 0.0000 0.6984 0.0000
Ni 0.5000 0.6984 0.0000
Ho 0.2500 0.7066 0.4132
Ge 0.7500 0.6377 0.2755
Ho 0.7500 0.2934 0.5868
Zn 0.7500 0.0529 0.1057
CELL_PARAMETERS angstrom
5.3824 0.0000 0.0000
0.0000 6.0905 0.0000
0.0000 -3.0452 5.7623
```



Record 2
Material: ZnInPb
Method: DFT, PBE-GGA
State: optimized geometry Values from VASP.

Symmetry = No. 12
Distance to the lowest polymorph of the same formula = 0.00 kcal/mol of atoms
ρ = 8471 kg/m³
Density of states at the Fermi level = 0.453 states/eV per atom
Final energy = -2.50 eV per atom

Structure (Quantum ESPRESSO input):
```
&SYSTEM
  ibrav = 0, nat = 6, ntyp = 3
/
ATOMIC_SPECIES
Zn 65.41 Zn.upf
Pb 207.20 Pb.upf
In 114.82 In.upf
ATOMIC_POSITIONS crystal
Zn 0.2285 0.8545 0.4570
Pb 0.8663 0.6684 0.7327
Zn 0.7715 0.1455 0.5430
In 0.5680 0.7904 0.1359
In 0.4320 0.2096 0.8641
Pb 0.1337 0.3316 0.2673
CELL_PARAMETERS angstrom
4.1573 0.0000 0.0000
0.0000 5.6282 -0.0156
-2.0786 -1.2366 6.4949
```



Record 3
Material: LaMg2In4Ag
Method: DFT, PBE-GGA
State: optimized geometry Values from VASP.

Symmetry = No. 166
ρ = 6278 kg/m³
Density of states at the Fermi level = 0.269 states/eV per atom
Final energy = -2.96 eV per atom

Structure (Quantum ESPRESSO input):
```
&SYSTEM
  ibrav = 0, nat = 8, ntyp = 4
/
ATOMIC_SPECIES
Ag 107.87 Ag.upf
In 114.82 In.upf
Mg 24.30 Mg.upf
La 138.91 La.upf
ATOMIC_POSITIONS crystal
Ag 0.5000 0.5000 0.5000
In 0.1312 0.1312 0.6065
Mg 0.7499 0.7499 0.7504
In 0.8688 0.8688 0.3935
Mg 0.2501 0.2501 0.2496
La 0.0000 0.0000 0.0000
In 0.3919 0.3919 0.8244
In 0.6081 0.6081 0.1756
CELL_PARAMETERS angstrom
-4.8427 -1.2616 0.2771
-1.7072 -2.5294 3.9760
-4.0032 6.6571 5.6752
```



Record 4
Material: Th5Ir4Pd
Method: DFT, PBE-GGA
State: optimized geometry Values from VASP.

Symmetry = No. 71
ρ = 13420 kg/m³
Density of states at the Fermi level = 0.397 states/eV per atom
Final energy = -8.72 eV per atom

Structure (Quantum ESPRESSO input):
```
&SYSTEM
  ibrav = 0, nat = 10, ntyp = 3
/
ATOMIC_SPECIES
Ir 192.22 Ir.upf
Th 232.04 Th.upf
Pd 106.42 Pd.upf
ATOMIC_POSITIONS crystal
Ir 0.5977 0.5977 0.1955
Th 0.8019 0.3019 0.6038
Ir 0.7988 0.7988 0.5976
Th 0.3939 0.8939 0.7879
Th 0.6061 0.1061 0.2121
Pd 0.0000 0.0000 0.0000
Th 0.0000 0.5000 0.0000
Ir 0.2012 0.2012 0.4024
Ir 0.4023 0.4023 0.8045
Th 0.1981 0.6981 0.3962
CELL_PARAMETERS angstrom
-0.4849 -3.1082 2.6890
5.5500 -1.6379 -0.8925
0.5467 8.5893 6.8425
```



Record 5
Material: Ba2Ti3TcO12
Method: DFT, PBE-GGA
State: optimized geometry Values from VASP.

Symmetry = No. 166
ρ = 4485 kg/m³
Raw formation energy = -2.376 eV per atom
Density of states at the Fermi level = 0.347 states/eV per atom
Final energy = -7.79 eV per atom

Structure (Quantum ESPRESSO input):
```
&SYSTEM
  ibrav = 0, nat = 18, ntyp = 4
/
ATOMIC_SPECIES
O 16.00 O.upf
Tc 98.00 Tc.upf
Ti 47.87 Ti.upf
Ba 137.33 Ba.upf
ATOMIC_POSITIONS crystal
O 0.0655 0.0655 0.6891
O 0.3109 0.9345 0.9345
O 0.6743 0.6743 0.0767
O 0.9345 0.9345 0.3109
O 0.6891 0.0655 0.0655
Tc 0.0000 0.0000 0.0000
O 0.0655 0.6891 0.0655
O 0.3257 0.9233 0.3257
Ti 0.0000 0.0000 0.5000
O 0.3257 0.3257 0.9233
O 0.9233 0.3257 0.3257
Ba 0.3924 0.3924 0.3924
O 0.6743 0.0767 0.6743
O 0.0767 0.6743 0.6743
Ti 0.5000 0.0000 0.0000
O 0.9345 0.3109 0.9345
Ti 0.0000 0.5000 0.0000
Ba 0.6076 0.6076 0.6076
CELL_PARAMETERS angstrom
-2.6837 -6.0946 2.8897
2.3095 -6.5360 -2.1551
4.0168 -4.2065 4.3437
```



Record 6
Material: LaDy2Ho9
Method: DFT, PBE-GGA
State: optimized geometry Values from VASP.

Symmetry = No. 191
Distance to the lowest polymorph of the same formula = 0.23 kcal/mol of atoms
ρ = 8437 kg/m³
Density of states at the Fermi level = 1.381 states/eV per atom
Final energy = -4.57 eV per atom

Structure (Quantum ESPRESSO input):
```
&SYSTEM
  ibrav = 0, nat = 12, ntyp = 3
/
ATOMIC_SPECIES
Ho 164.93 Ho.upf
Dy 162.50 Dy.upf
La 138.91 La.upf
ATOMIC_POSITIONS crystal
Ho 0.5000 0.3583 0.1791
Ho 0.5000 0.6417 0.8209
Dy 0.0000 0.3333 0.6667
Ho 0.5000 0.1791 0.3583
Ho 0.0000 0.5000 0.5000
Ho 0.5000 0.8209 0.1791
Ho 0.0000 0.0000 0.5000
Ho 0.5000 0.8209 0.6417
Ho 0.0000 0.5000 0.0000
Dy 0.0000 0.6667 0.3333
Ho 0.5000 0.1791 0.8209
La 0.0000 0.0000 0.0000
CELL_PARAMETERS angstrom
3.5155 0.0000 0.0000
0.0000 11.2230 0.0000
0.0000 -5.6115 9.7194
```